First-principles (PBE-GGA) data for a relaxed Ga2AsSe crystal, as listed in Alexandria.

Computed properties:
DOS(E_F), states/eV/atom: 0.41
ΔE to the lowest computed polymorph, meV/atom: 10

a = 5.986 Å, b = 5.986 Å, c = 11.892 Å
α = 90.00°, β = 90.00°, γ = 90.00°
Element x y z (fractional)
1 Ga 0.237 0.250 0.125
2 Ga 0.250 0.737 0.375
3 Ga 0.250 0.763 0.875
4 Ga 0.263 0.250 0.625
5 Ga 0.737 0.750 0.625
6 Ga 0.750 0.237 0.875
7 Ga 0.750 0.263 0.375
8 Ga 0.763 0.750 0.125
9 As 0.000 0.000 0.000
10 As 0.000 0.500 0.250
11 As 0.500 0.000 0.750
12 As 0.500 0.500 0.500
13 Se 0.000 0.000 0.500
14 Se 0.000 0.500 0.750
15 Se 0.500 0.000 0.250
16 Se 0.500 0.500 0.000

---

First-principles (PBE-GGA) data for a relaxed Ga2AsSe crystal, as listed in Alexandria.

Computed properties:
DOS(E_F), states/eV/atom: 0.67
ΔE to the lowest computed polymorph, meV/atom: 384

a = 6.838 Å, b = 6.838 Å, c = 6.838 Å
α = 90.00°, β = 90.00°, γ = 90.00°
Element x y z (fractional)
1 Ga 0.250 0.250 0.250
2 Ga 0.250 0.250 0.750
3 Ga 0.250 0.750 0.250
4 Ga 0.250 0.750 0.750
5 Ga 0.750 0.250 0.250
6 Ga 0.750 0.250 0.750
7 Ga 0.750 0.750 0.250
8 Ga 0.750 0.750 0.750
9 As 0.000 0.000 0.000
10 As 0.000 0.500 0.500
11 As 0.500 0.000 0.500
12 As 0.500 0.500 0.000
13 Se 0.000 0.000 0.500
14 Se 0.000 0.500 0.000
15 Se 0.500 0.000 0.000
16 Se 0.500 0.500 0.500

---

First-principles (PBE-GGA) data for a relaxed Ga12As3Se5 crystal, as listed in Alexandria.

Computed properties:
E_tot, eV per atom: -3.452
DOS(E_F), states/eV/atom: 0.46

a = 13.890 Å, b = 13.890 Å, c = 13.890 Å
α = 109.47°, β = 109.47°, γ = 109.47°
Element x y z (fractional)
1 Ga 0.063 0.228 0.150
2 Ga 0.063 0.335 0.912
3 Ga 0.078 0.728 0.665
4 Ga 0.078 0.850 0.412
5 Ga 0.088 0.650 0.422
6 Ga 0.088 0.937 0.665
7 Ga 0.150 0.063 0.228
8 Ga 0.150 0.588 0.922
9 Ga 0.165 0.228 0.578
10 Ga 0.165 0.437 0.588
11 Ga 0.228 0.150 0.063
12 Ga 0.228 0.578 0.165
13 Ga 0.272 0.335 0.922
14 Ga 0.272 0.437 0.350
15 Ga 0.335 0.912 0.063
16 Ga 0.335 0.922 0.272
17 Ga 0.350 0.272 0.437
18 Ga 0.350 0.578 0.912
19 Ga 0.412 0.078 0.850
20 Ga 0.412 0.835 0.563
21 Ga 0.422 0.088 0.650
22 Ga 0.422 0.835 0.772
23 Ga 0.437 0.350 0.272
24 Ga 0.437 0.588 0.165
25 Ga 0.563 0.412 0.835
26 Ga 0.563 0.650 0.728
27 Ga 0.578 0.165 0.228
28 Ga 0.578 0.912 0.350
29 Ga 0.588 0.165 0.437
30 Ga 0.588 0.922 0.150
31 Ga 0.650 0.422 0.088
32 Ga 0.650 0.728 0.563
33 Ga 0.665 0.078 0.728
34 Ga 0.665 0.088 0.937
35 Ga 0.728 0.563 0.650
36 Ga 0.728 0.665 0.078
37 Ga 0.772 0.422 0.835
38 Ga 0.772 0.850 0.937
39 Ga 0.835 0.563 0.412
40 Ga 0.835 0.772 0.422
41 Ga 0.850 0.412 0.078
42 Ga 0.850 0.937 0.772
43 Ga 0.912 0.063 0.335
44 Ga 0.912 0.350 0.578
45 Ga 0.922 0.150 0.588
46 Ga 0.922 0.272 0.335
47 Ga 0.937 0.665 0.088
48 Ga 0.937 0.772 0.850
49 As 0.125 0.250 0.375
50 As 0.125 0.375 0.750
51 As 0.250 0.375 0.125
52 As 0.250 0.875 0.625
53 As 0.375 0.125 0.250
54 As 0.375 0.750 0.125
55 As 0.625 0.250 0.875
56 As 0.625 0.875 0.750
57 As 0.750 0.125 0.375
58 As 0.750 0.625 0.875
59 As 0.875 0.625 0.250
60 As 0.875 0.750 0.625
61 Se 0.000 0.000 0.000
62 Se 0.000 0.000 0.500
63 Se 0.000 0.500 0.000
64 Se 0.000 0.500 0.500
65 Se 0.125 0.750 0.875
66 Se 0.125 0.875 0.250
67 Se 0.250 0.125 0.875
68 Se 0.250 0.625 0.375
69 Se 0.375 0.250 0.625
70 Se 0.375 0.625 0.750
71 Se 0.500 0.000 0.000
72 Se 0.500 0.000 0.500
73 Se 0.500 0.500 0.000
74 Se 0.500 0.500 0.500
75 Se 0.625 0.375 0.250
76 Se 0.625 0.750 0.375
77 Se 0.750 0.375 0.625
78 Se 0.750 0.875 0.125
79 Se 0.875 0.125 0.750
80 Se 0.875 0.250 0.125

---

First-principles (PBE-GGA) data for a relaxed Ga2AsSe4 crystal, as listed in Alexandria.

Computed properties:
E_tot, eV per atom: -3.844

a = 7.655 Å, b = 7.655 Å, c = 6.453 Å
α = 90.00°, β = 90.00°, γ = 90.00°
Element x y z (fractional)
1 Ga 0.000 0.500 0.250
2 Ga 0.000 0.500 0.750
3 Ga 0.500 0.000 0.250
4 Ga 0.500 0.000 0.750
5 As 0.000 0.000 0.000
6 As 0.500 0.500 0.500
7 Se 0.162 0.319 0.000
8 Se 0.181 0.662 0.500
9 Se 0.319 0.838 0.000
10 Se 0.338 0.181 0.500
11 Se 0.662 0.819 0.500
12 Se 0.681 0.162 0.000
13 Se 0.819 0.338 0.500
14 Se 0.838 0.681 0.000

---

First-principles (PBE-GGA) data for a relaxed Ga2AsSe crystal, as listed in Alexandria.

Computed properties:
DOS(E_F), states/eV/atom: 0.70
ΔE to the lowest computed polymorph, meV/atom: 253

a = 4.057 Å, b = 4.057 Å, c = 21.944 Å
α = 90.00°, β = 90.00°, γ = 120.00°
Element x y z (fractional)
1 Ga 0.000 0.000 0.108
2 Ga 0.000 0.000 0.892
3 Ga 0.333 0.667 0.559
4 Ga 0.333 0.667 0.774
5 Ga 0.667 0.333 0.226
6 Ga 0.667 0.333 0.441
7 As 0.000 0.000 0.500
8 As 0.333 0.667 0.167
9 As 0.667 0.333 0.833
10 Se 0.000 0.000 0.000
11 Se 0.333 0.667 0.667
12 Se 0.667 0.333 0.333

---

First-principles (PBE-GGA) data for a relaxed GaAsSe crystal, as listed in Alexandria.

Computed properties:
DOS(E_F), states/eV/atom: 0.31
ΔE to the lowest computed polymorph, meV/atom: 98

a = 3.518 Å, b = 5.962 Å, c = 7.814 Å
α = 76.42°, β = 89.67°, γ = 73.16°
Element x y z (fractional)
1 Ga 0.068 0.366 0.310
2 Ga 0.932 0.634 0.690
3 As 0.093 0.218 0.639
4 As 0.907 0.782 0.361
5 Se 0.367 0.765 0.861
6 Se 0.633 0.235 0.139

---

First-principles (PBE-GGA) data for a relaxed GaAs2Se6 crystal, as listed in Alexandria.

Computed properties:
E_tot, eV per atom: -3.804
DOS(E_F), states/eV/atom: 0.48

a = 9.650 Å, b = 9.650 Å, c = 6.601 Å
α = 107.72°, β = 107.72°, γ = 80.52°
Element x y z (fractional)
1 Ga 0.186 0.814 0.750
2 Ga 0.814 0.186 0.250
3 As 0.215 0.372 0.504
4 As 0.372 0.215 0.004
5 As 0.628 0.785 0.996
6 As 0.785 0.628 0.496
7 Se 0.008 0.873 0.971
8 Se 0.127 0.992 0.529
9 Se 0.141 0.608 0.428
10 Se 0.315 0.451 0.899
11 Se 0.392 0.859 0.072
12 Se 0.451 0.315 0.399
13 Se 0.549 0.685 0.601
14 Se 0.608 0.141 0.928
15 Se 0.685 0.549 0.101
16 Se 0.859 0.392 0.572
17 Se 0.873 0.008 0.471
18 Se 0.992 0.127 0.029

---

First-principles (PBE-GGA) data for a relaxed GaAsSe3 crystal, as listed in Alexandria.

Computed properties:
DOS(E_F), states/eV/atom: 0.02
ΔE to the lowest computed polymorph, meV/atom: 0

a = 8.651 Å, b = 8.651 Å, c = 11.612 Å
α = 118.67°, β = 118.67°, γ = 24.05°
Element x y z (fractional)
1 Ga 0.163 0.163 0.399
2 Ga 0.837 0.837 0.601
3 As 0.444 0.444 0.241
4 As 0.556 0.556 0.759
5 Se 0.141 0.141 0.914
6 Se 0.319 0.319 0.431
7 Se 0.419 0.419 0.784
8 Se 0.581 0.581 0.216
9 Se 0.681 0.681 0.569
10 Se 0.859 0.859 0.086